Material: Rb2YTmS4
Method: DFT, PBE-GGA
State: optimized geometry

For the density of states at the Fermi level, the calculation gives 0.00 states/eV/cell. The calculation puts the calculated volume at 27.4 Å³ per atom. For the uncorrected formation energy, the calculation gives -1855 meV/atom.

POSCAR file:
```
Rb2YTmS4
1.0
-2.656 -3.063 -0.116
2.840 -2.684 5.839
-5.851 4.984 2.321
Rb Y Tm S
2 1 1 4
Cartesian
-4.253 0.960 1.103
-1.505 1.150 4.080
0.092 -2.873 2.861
0.000 0.000 0.000
-1.797 -1.192 1.708
-3.870 0.429 6.337
-3.974 3.315 3.431
0.963 -1.014 4.729
```